DFT (GGA+U) results for a relaxed Sr2CrSiO6 crystal.

abc: 5.386 5.386 5.386
angles: 60.00 60.00 60.00
Fractional positions:
O: 0.078 0.078 0.289
O: 0.554 0.554 0.814
O: 0.554 0.078 0.290
O: 0.078 0.554 0.290
O: 0.554 0.078 0.813
Cr: 0.816 0.816 0.552
Sr: 0.566 0.566 0.302
Si: 0.316 0.316 0.052
Sr: 0.066 0.066 0.802
O: 0.078 0.554 0.813

Values from the calculation:
final energy = -7.08 eV/atom
symmetry = Fm-3m (225)